## Ca2PmPb (PBE)

Data for a geometry-optimized Ca2PmPb structure.

## Properties
DOS at the Fermi energy = 3.4 states/eV/cell
size of the total moment = 0.00 μB per formula unit
energy of formation from the pure elements = -0.31 eV/atom
volume = 128.6 Å³/cell

Cell: 4.9611 4.9611 5.2263 Å, 90.00 90.00 90.00°
With the nearest neighbours (Å) after each atom.
Space group P4/mmm (No. 123)
One atom of each set of equivalent atoms:
Ca1 0.0000 0.5000 0.0000 x2  4 Ca 3.51, 4 Pb 3.60, 4 Pm 3.60
Pm1 0.0000 0.0000 0.5000 x1  4 Pb 3.51, 8 Ca 3.60
Pb1 0.5000 0.5000 0.5000 x1  4 Pm 3.51, 8 Ca 3.60